! PrSi2Pd8, optimized geometry, DFT PBE-GGA; values from VASP
&SYSTEM
  ibrav = 0, nat = 11, ntyp = 3
/
ATOMIC_SPECIES
Pr 140.91 Pr.upf
Si 28.09 Si.upf
Pd 106.42 Pd.upf
CELL_PARAMETERS angstrom
5.560 0.000 0.000
0.000 5.560 0.000
0.000 0.000 7.212
ATOMIC_POSITIONS crystal
Pr 0.500 0.500 0.500
Si 0.500 0.000 0.000
Si 0.000 0.500 0.000
Pd 0.755 0.755 0.200
Pd 0.755 0.245 0.800
Pd 0.755 0.755 0.800
Pd 0.755 0.245 0.200
Pd 0.245 0.755 0.200
Pd 0.245 0.755 0.800
Pd 0.245 0.245 0.200
Pd 0.245 0.245 0.800
! **Crystal system**: tetragonal

! PrSiPd, optimized geometry, DFT PBE-GGA; values from VASP
&SYSTEM
  ibrav = 0, nat = 12, ntyp = 3
/
ATOMIC_SPECIES
Pr 140.91 Pr.upf
Si 28.09 Si.upf
Pd 106.42 Pd.upf
CELL_PARAMETERS angstrom
-1.126 -4.832 -3.015
0.277 -3.159 4.959
-7.263 2.370 -1.086
ATOMIC_POSITIONS crystal
Pr 0.133 0.327 0.123
Pr 0.367 0.827 0.623
Pr 0.867 0.673 0.877
Pr 0.633 0.173 0.377
Si 0.630 0.171 0.966
Si 0.370 0.829 0.034
Si 0.130 0.329 0.534
Si 0.870 0.671 0.466
Pd 0.611 0.600 0.198
Pd 0.389 0.400 0.802
Pd 0.889 0.100 0.698
Pd 0.111 0.900 0.302
! **Crystal system**: monoclinic

! PrSiPd, optimized geometry, DFT PBE-GGA; values from VASP
&SYSTEM
  ibrav = 0, nat = 24, ntyp = 3
/
ATOMIC_SPECIES
Pr 140.91 Pr.upf
Si 28.09 Si.upf
Pd 106.42 Pd.upf
CELL_PARAMETERS angstrom
-0.281 3.073 -5.021
2.562 -6.327 -4.016
-10.202 -3.550 -1.603
ATOMIC_POSITIONS crystal
Pr 0.632 0.326 0.371
Pr 0.132 0.174 0.629
Pr 0.368 0.674 0.629
Pr 0.868 0.826 0.371
Pr 0.134 0.466 0.143
Pr 0.634 0.034 0.857
Pr 0.866 0.534 0.857
Pr 0.366 0.966 0.143
Si 0.633 0.035 0.577
Si 0.133 0.465 0.423
Si 0.367 0.965 0.423
Si 0.867 0.535 0.577
Si 0.858 0.124 0.144
Si 0.358 0.376 0.856
Si 0.142 0.876 0.856
Si 0.642 0.624 0.144
Pd 0.901 0.836 0.052
Pd 0.401 0.664 0.948
Pd 0.099 0.164 0.948
Pd 0.599 0.336 0.052
Pd 0.892 0.822 0.668
Pd 0.392 0.678 0.332
Pd 0.108 0.178 0.332
Pd 0.608 0.322 0.668
! **Crystal system**: monoclinic

| no. | mass density (Mg/m³) | uncorrected formation energy (eV/f.u.) |
| --- | --- | --- |
| 1 | 7.81 | -3.8 |
| 2 | 7.34 | -2.5 |
| 3 | 7.18 | -2.7 |